A relaxed structure of AcSm2Cd2. Source: the Alexandria database, functional PBE.

Cell and atoms, written as POSCAR:
```
AcSm2Cd2
1.0
5.1943 0.0000 0.0000
0.0000 5.1943 0.0000
-2.5971 -2.5971 12.4556
Ac Sm Cd
2 4 4
direct
0.6296 0.6296 0.2591
0.3704 0.3704 0.7409
0.0000 0.5000 0.0000
0.1850 0.1850 0.3699
0.5000 0.0000 0.0000
0.8150 0.8150 0.6301
0.7500 0.2500 0.5000
0.9315 0.9315 0.8629
0.0685 0.0685 0.1371
0.2500 0.7500 0.5000
```

D(E_F)	9.8	states/eV per cell
final energy	-31.738	eV for the cell shown
E_form	-9	kJ/mol of atoms